Below is a geometry-optimized InAg2Os structure, with properties calculated at the PBE level.

ΔE_f = 0.4409 eV/atom
total DFT energy (no corrections) = -4.477 eV per atom

a b c (Å): 3.255 4.513 4.757
angles (deg): 90.00 90.00 90.00
Positions (direct):
In: 0.000 0.000 0.000
Ag: 0.000 0.500 0.500
Ag: 0.500 0.000 0.500
Os: 0.500 0.500 0.000